Record 1
# TcTe2Au

TcTe2Au at its PBEsol-relaxed geometry (SCAN, Alexandria via LeMat-Bulk).

Results
- Total energy: -44.678 eV per atom
- Excess energy over the best structure of this formula in the dataset: 0 meV per atom

a b c (Å): 3.2540 4.0711 8.3324
angles (deg): 77.68 78.74 66.44
Sites, in units of the cell vectors:
Au (0.0000, 0.0000, 0.0000)
Te (0.8564, 0.9682, 0.3191)
Te (0.1436, 0.0318, 0.6809)
Tc (0.5000, 0.5000, 0.5000)

=====

Record 2
# TcTe2Au

TcTe2Au at its PBEsol-relaxed geometry (SCAN, Alexandria via LeMat-Bulk).

Results
- Total energy: -44.143 eV per atom
- Excess energy over the best structure of this formula in the dataset: 535 meV per atom

a b c (Å): 3.0277 3.0277 10.1669
angles (deg): 90.00 90.00 116.00
Sites, in units of the cell vectors:
Te (0.0000, 0.0000, 0.2136)
Te (0.0000, 0.0000, 0.7864)
Tc (0.5000, 0.5000, 0.0000)
Au (0.5000, 0.5000, 0.5000)

=====

Record 3
# TlTcWAu2

TlTcWAu2 at its PBEsol-relaxed geometry (SCAN, Alexandria via LeMat-Bulk).

Results
- Total energy: -60.619 eV per atom

a b c (Å): 4.9016 4.9016 4.9785
angles (deg): 90.00 90.00 90.00
Last column: magnetic moment on the atom in μB.
Sites, in units of the cell vectors:
Au (0.0000, 0.5000, 0.0000)  0.01
Au (0.5000, 0.0000, 0.0000)  0.01
Tl (0.0000, 0.0000, 0.0000)  -0.06
Tc (0.0000, 0.0000, 0.5000)  2.20
W (0.5000, 0.5000, 0.5000)  2.80

=====

Record 4
# Tc2WAu

Tc2WAu at its PBEsol-relaxed geometry (SCAN, Alexandria via LeMat-Bulk).

Results
- Total energy: -52.037 eV per atom
- Excess energy over the best structure of this formula in the dataset: 114 meV per atom

a b c (Å): 2.7571 2.7571 9.3421
angles (deg): 81.51 81.51 60.00
Sites, in units of the cell vectors:
W (0.4969, 0.4969, 0.5093)
Tc (0.0055, 0.0055, 0.9836)
Tc (0.7465, 0.7465, 0.7604)
Au (0.2511, 0.2511, 0.2467)

=====

Record 5
# Tc2WAu

Tc2WAu at its PBEsol-relaxed geometry (SCAN, Alexandria via LeMat-Bulk).

Results
- Total energy: -51.970 eV per atom
- Excess energy over the best structure of this formula in the dataset: 180 meV per atom

a b c (Å): 2.7376 2.7376 8.0873
angles (deg): 90.00 90.00 90.00
Sites, in units of the cell vectors:
Au (0.5000, 0.5000, 0.5000)
Tc (0.0000, 0.0000, 0.2375)
Tc (0.0000, 0.0000, 0.7625)
W (0.5000, 0.5000, 0.0000)

=====

Record 6
# Tc2WAu

Tc2WAu at its PBEsol-relaxed geometry (SCAN, Alexandria via LeMat-Bulk).

Results
- Total energy: -52.050 eV per atom
- Excess energy over the best structure of this formula in the dataset: 101 meV per atom

a b c (Å): 2.7427 2.7427 8.0220
angles (deg): 90.00 90.00 90.00
Sites, in units of the cell vectors:
Au (0.5000, 0.5000, 0.7526)
W (0.0000, 0.0000, 0.4872)
Tc (0.0000, 0.0000, 0.0219)
Tc (0.5000, 0.5000, 0.2384)

=====

Record 7
# Tc2WAu

Tc2WAu at its PBEsol-relaxed geometry (SCAN, Alexandria via LeMat-Bulk).

Results
- Total energy: -52.043 eV per atom
- Excess energy over the best structure of this formula in the dataset: 108 meV per atom

a b c (Å): 3.9565 3.9565 4.7285
angles (deg): 114.73 114.73 90.00
Sites, in units of the cell vectors:
Tc (0.2500, 0.7500, 0.5000)
Tc (0.7500, 0.2500, 0.5000)
Au (0.0000, 0.0000, 0.0000)
W (0.5000, 0.5000, 0.0000)

=====

Record 8
# Tc2WAu

Tc2WAu at its PBEsol-relaxed geometry (SCAN, Alexandria via LeMat-Bulk).

Results
- Total energy: -52.151 eV per atom
- Excess energy over the best structure of this formula in the dataset: 0 meV per atom

a b c (Å): 3.8034 3.9476 3.9476
angles (deg): 90.00 90.00 90.00
Sites, in units of the cell vectors:
Au (0.5000, 0.0000, 0.0000)
Tc (0.0000, 0.0000, 0.5000)
Tc (0.0000, 0.5000, 0.0000)
W (0.5000, 0.5000, 0.5000)

=====

Record 9
# YTcAu

YTcAu at its PBEsol-relaxed geometry (SCAN, Alexandria via LeMat-Bulk).

Results
- Total energy: -43.773 eV per atom
- Excess energy over the best structure of this formula in the dataset: 417 meV per atom

a b c (Å): 4.5241 4.5241 4.5241
angles (deg): 60.00 60.00 60.00
Last column: magnetic moment on the atom in μB.
Sites, in units of the cell vectors:
Y (0.0000, 0.0000, 0.0000)  0.28
Au (0.5000, 0.5000, 0.5000)  0.19
Tc (0.7500, 0.7500, 0.7500)  2.17

=====

Record 10
# YTcAu

YTcAu at its PBEsol-relaxed geometry (SCAN, Alexandria via LeMat-Bulk).

Results
- Total energy: -44.191 eV per atom
- Excess energy over the best structure of this formula in the dataset: 0 meV per atom

a b c (Å): 3.5175 4.4346 4.4346
angles (deg): 120.00 90.00 90.00
Sites, in units of the cell vectors:
Y (0.5000, 0.3333, 0.6667)
Tc (0.0000, 0.6667, 0.3333)
Au (0.0000, 0.0000, 0.0000)

=====

Record 11
# YTc2Au

YTc2Au at its PBEsol-relaxed geometry (SCAN, Alexandria via LeMat-Bulk).

Results
- Total energy: -41.318 eV per atom

a b c (Å): 2.7744 2.7744 8.8586
angles (deg): 90.00 90.00 90.00
Sites, in units of the cell vectors:
Y (0.5000, 0.5000, 0.0000)
Au (0.5000, 0.5000, 0.5000)
Tc (0.0000, 0.0000, 0.7300)
Tc (0.0000, 0.0000, 0.2700)

=====

Record 12
# ZnTcAu2

ZnTcAu2 at its PBEsol-relaxed geometry (SCAN, Alexandria via LeMat-Bulk).

Results
- Total energy: -46.572 eV per atom

a b c (Å): 2.6956 4.8132 5.5108
angles (deg): 115.89 104.16 90.00
Last column: magnetic moment on the atom in μB.
Sites, in units of the cell vectors:
Au (0.9880, 0.9880, 0.9760)  0.01
Au (0.7537, 0.2537, 0.5075)  0.01
Zn (0.2479, 0.7479, 0.4959)  -0.01
Tc (0.5103, 0.5103, 0.0207)  0.89